Below is crystalline Tl2FeAsPd at its relaxed geometry, with properties calculated at the GGA-PBE level.

Lattice parameters (Å, degrees): 5.0865 5.0865 4.3284 90.00 90.00 90.00
Space group P4/mmm (No. 123)
Symmetry-distinct sites (fractional):
Tl 0.0000 0.5000 0.0000
Fe 0.0000 0.0000 0.0000
As 0.0000 0.0000 0.5000
Pd 0.5000 0.5000 0.5000

Calculated values
Total magnetization (μB/f.u.): 0.00
VASP energy (eV per formula unit): -21.1
Volume (Å³ per cell): 111.99

=====

Below is crystalline Li12Tl6Zn at its relaxed geometry, with properties calculated at the GGA-PBE level.

Lattice parameters (Å, degrees): 12.3555 12.3555 8.6395 90.00 90.00 120.00
Space group R-3 (No. 148, hexagonal axes)
Symmetry-distinct sites (fractional):
Li 0.0475 0.8056 0.0762
Li 0.0592 0.8178 0.4217
Tl 0.0438 0.8438 0.7477
Zn 0.0000 0.0000 0.0000

Calculated values
Total magnetization (μB/f.u.): 0.00
VASP energy (eV per formula unit): -41.2
Volume (Å³ per cell): 1142.20

=====

Below is crystalline NbIr3Rh2 at its relaxed geometry, with properties calculated at the GGA-PBE level.

Lattice parameters (Å, degrees): 5.5223 13.5419 4.9503 90.00 90.00 90.00
Space group Cmcm (No. 63)
Symmetry-distinct sites (fractional):
Nb 0.0000 0.1495 0.2500
Ir 0.0000 0.3494 0.7500
Ir 0.2479 0.3193 0.2500
Rh 0.2487 0.5000 0.0000

Calculated values
Total magnetization (μB/f.u.): 0.00
VASP energy (eV per formula unit): -51.6
Volume (Å³ per cell): 370.19

=====

Below is crystalline Pu4InAu5 at its relaxed geometry, with properties calculated at the GGA-PBE level.

Lattice parameters (Å, degrees): 3.8934 3.8934 14.7589 90.00 90.00 90.00
Space group P4/mmm (No. 123)
Symmetry-distinct sites (fractional):
Pu 0.0000 0.0000 0.1148
Pu 0.0000 0.0000 0.2810
In 0.0000 0.0000 0.5000
Au 0.5000 0.5000 0.0000
Au 0.5000 0.5000 0.2033
Au 0.5000 0.5000 0.3976

Calculated values
Total magnetization (μB/f.u.): 10.02
VASP energy (eV per formula unit): -75.5
Volume (Å³ per cell): 223.73

=====

Below is crystalline Sr2LaAu at its relaxed geometry, with properties calculated at the GGA-PBE level.

Lattice parameters (Å, degrees): 3.8204 3.8204 10.0365 90.00 90.00 90.00
Space group P4/mmm (No. 123)
Symmetry-distinct sites (fractional):
Sr 0.0000 0.0000 0.1880
La 0.5000 0.5000 0.5000
Au 0.5000 0.5000 0.0000

Calculated values
Excess energy over the best structure of this formula in the dataset (eV/atom): 0.072
Total magnetization (μB/f.u.): 0.00
VASP energy (eV per formula unit): -12.7
Volume (Å³ per cell): 146.49

=====

Below is crystalline NpTlSiS4 at its relaxed geometry, with properties calculated at the GGA-PBE level.

Lattice parameters (Å, degrees): 6.5273 6.5306 8.7942 90.00 107.15 90.00
Space group P2_1/m (No. 11)
Symmetry-distinct sites (fractional):
Np 0.2347 0.2500 0.0555
Tl 0.2588 0.2500 0.5691
Si 0.2177 0.7500 0.8248
S 0.0027 0.0041 0.7876
S 0.4085 0.7500 0.0680
S 0.4106 0.7500 0.6689

Calculated values
Total magnetization (μB/f.u.): 4.00
Uncorrected formation energy (eV per atom): -0.879
VASP energy (eV per formula unit): -43.4
Volume (Å³ per cell): 358.21

=====

Below is crystalline KTl2Ru at its relaxed geometry, with properties calculated at the GGA-PBE level.

Lattice parameters (Å, degrees): 6.5369 6.5369 16.1137 90.00 90.00 90.00
Space group I-42d (No. 122)
Symmetry-distinct sites (fractional):
K 0.0000 0.0000 0.0000
Tl 0.0057 0.2500 0.6250
Ru 0.0000 0.0000 0.5000

Calculated values
Total magnetization (μB/f.u.): 0.00
VASP energy (eV per formula unit): -13.0
Volume (Å³ per cell): 688.54

=====

Below is crystalline Tb3SnPb2 at its relaxed geometry, with properties calculated at the GGA-PBE level.

Lattice parameters (Å, degrees): 13.0623 4.5552 11.9821 90.00 90.00 90.00
Space group Pnma (No. 62)
Symmetry-distinct sites (fractional):
Tb 0.0572 0.2500 0.1109
Tb 0.1296 0.7500 0.5634
Tb 0.2451 0.7500 0.2803
Sn 0.1101 0.2500 0.3786
Pb 0.0252 0.2500 0.7308
Pb 0.1850 0.7500 0.0017

Calculated values
Excess energy over the best structure of this formula in the dataset (eV/atom): 0.092
Total magnetization (μB/f.u.): 0.00
VASP energy (eV per formula unit): -28.0
Volume (Å³ per cell): 712.95